Version one
VASP calculation (GGA-PBE) on crystalline RbLi2Al2 at its relaxed geometry.

Cell and atoms, written as POSCAR:
```
RbLi2Al2
1.0
-2.008 2.008 8.772
2.008 -2.008 8.772
2.008 2.008 -8.772
Rb Li Al
1 2 2
direct
0.000 0.000 0.000
0.361 0.361 0.000
0.639 0.639 0.000
0.250 0.750 0.500
0.750 0.250 0.500
```


Version two
VASP calculation (GGA-PBE) on crystalline RbLi2Al2 at its relaxed geometry.

Cell and atoms, written as POSCAR:
```
RbLi2Al2
1.0
8.795 0.000 0.000
0.000 8.795 0.000
0.000 0.000 3.014
Rb Li Al
2 4 4
direct
0.000 0.000 0.000
0.500 0.500 0.000
0.173 0.327 0.000
0.327 0.827 0.000
0.673 0.173 0.000
0.827 0.673 0.000
0.110 0.610 0.500
0.390 0.110 0.500
0.610 0.890 0.500
0.890 0.390 0.500
```


Relative energies, unit meV/atom: version one 103; version two 0


Version one
VASP calculation (GGA-PBE) on crystalline RbLiAl3 at its relaxed geometry.

Cell and atoms, written as POSCAR:
```
RbLiAl3
1.0
5.023 0.000 0.000
0.000 5.023 0.000
0.000 0.000 5.023
Rb Li Al
1 1 3
direct
0.000 0.000 0.000
0.500 0.500 0.500
0.000 0.500 0.500
0.500 0.000 0.500
0.500 0.500 0.000
```


Version two
VASP calculation (GGA-PBE) on crystalline RbLiAl3 at its relaxed geometry.

Cell and atoms, written as POSCAR:
```
RbLiAl3
1.0
6.038 0.000 0.000
0.000 6.038 0.000
0.000 0.000 6.038
Rb Li Al
1 1 3
direct
0.000 0.000 0.000
0.500 0.500 0.500
0.000 0.000 0.500
0.000 0.500 0.000
0.500 0.000 0.000
```


Relative energies, unit meV/atom: version one 0; version two 988


Version one
VASP calculation (GGA-PBE) on crystalline Li2Al2Re at its relaxed geometry.

Cell and atoms, written as POSCAR:
```
Li2Al2Re
1.0
4.783 0.000 0.000
0.000 4.783 0.000
0.000 0.000 4.951
Li Al Re
2 2 1
direct
0.000 0.000 0.000
0.500 0.500 0.000
0.000 0.500 0.500
0.500 0.000 0.500
0.000 0.000 0.500
```


Version two
VASP calculation (GGA-PBE) on crystalline Li2Al2Re at its relaxed geometry.

Cell and atoms, written as POSCAR:
```
Li2Al2Re
1.0
7.059 0.000 0.000
0.000 7.059 0.000
0.000 0.000 2.767
Li Al Re
4 4 2
direct
0.155 0.345 0.000
0.345 0.845 0.000
0.655 0.155 0.000
0.845 0.655 0.000
0.145 0.645 0.500
0.355 0.145 0.500
0.645 0.855 0.500
0.855 0.355 0.500
0.000 0.000 0.500
0.500 0.500 0.500
```


Relative energies, unit meV/atom: version one 415; version two 0


Version one
VASP calculation (GGA-PBE) on crystalline LiAlRe at its relaxed geometry.

Cell and atoms, written as POSCAR:
```
LiAlRe
1.0
0.000 2.192 6.729
1.518 0.000 6.729
1.518 2.192 0.000
Li Al Re
1 1 1
direct
0.000 0.000 0.000
0.671 0.671 0.329
0.331 0.331 0.669
```


Version two
VASP calculation (GGA-PBE) on crystalline LiAlRe at its relaxed geometry.

Cell and atoms, written as POSCAR:
```
LiAlRe
1.0
0.000 2.943 2.943
2.943 0.000 2.943
2.943 2.943 0.000
Li Al Re
1 1 1
direct
0.000 0.000 0.000
0.250 0.250 0.250
0.500 0.500 0.500
```


Version three
VASP calculation (GGA-PBE) on crystalline LiAlRe at its relaxed geometry.

Cell and atoms, written as POSCAR:
```
LiAlRe
1.0
4.271 0.000 0.000
-2.135 3.699 0.000
0.000 0.000 2.618
Li Al Re
1 1 1
direct
0.000 0.000 0.000
0.333 0.667 0.000
0.667 0.333 0.500
```


Version four
VASP calculation (GGA-PBE) on crystalline LiAlRe at its relaxed geometry.

Cell and atoms, written as POSCAR:
```
LiAlRe
1.0
2.129 1.229 6.804
-2.129 1.229 6.804
0.000 -2.459 6.804
Li Al Re
2 2 2
direct
0.211 0.211 0.211
0.789 0.789 0.789
0.066 0.066 0.066
0.934 0.934 0.934
0.347 0.347 0.347
0.653 0.653 0.653
```


Relative energies, unit meV/atom: version one 21; version two 783; version three 0; version four 15


Version one
VASP calculation (GGA-PBE) on crystalline LiAlRe at its relaxed geometry.

Cell and atoms, written as POSCAR:
```
LiAlRe
1.0
-1.302 2.045 3.970
1.302 -2.045 3.970
1.302 2.045 -3.970
Li Al Re
1 1 1
direct
0.000 0.000 0.000
0.332 0.332 0.000
0.672 0.672 0.000
```


Version two
VASP calculation (GGA-PBE) on crystalline LiAlRe at its relaxed geometry.

Cell and atoms, written as POSCAR:
```
LiAlRe
1.0
-1.503 1.503 4.516
1.503 -1.503 4.516
1.503 1.503 -4.516
Li Al Re
1 1 1
direct
0.000 0.000 0.000
0.340 0.340 0.000
0.668 0.668 0.000
```


Version three
VASP calculation (GGA-PBE) on crystalline LiAlRe at its relaxed geometry.

Cell and atoms, written as POSCAR:
```
LiAlRe
1.0
-1.322 1.322 6.534
1.322 -1.322 6.534
1.322 1.322 -6.534
Li Al Re
1 1 1
direct
0.000 0.000 0.000
0.675 0.675 0.000
0.330 0.330 0.000
```


Relative energies, unit meV/atom: version one 0; version two 176; version three 55


Version one
VASP calculation (GGA-PBE) on crystalline LiAl3Re at its relaxed geometry.

Cell and atoms, written as POSCAR:
```
LiAl3Re
1.0
4.812 0.000 0.000
0.000 4.812 0.000
0.000 0.000 4.812
Li Al Re
1 3 1
direct
0.000 0.000 0.000
0.000 0.500 0.500
0.500 0.000 0.500
0.500 0.500 0.000
0.500 0.500 0.500
```


Version two
VASP calculation (GGA-PBE) on crystalline LiAl3Re at its relaxed geometry.

Cell and atoms, written as POSCAR:
```
LiAl3Re
1.0
3.278 0.000 0.000
0.000 4.195 0.000
-1.642 0.000 11.116
Li Al Re
2 6 2
direct
0.242 0.000 0.485
0.758 0.500 0.515
0.036 0.999 0.072
0.153 0.499 0.306
0.365 0.499 0.729
0.635 0.999 0.271
0.847 0.999 0.694
0.964 0.499 0.928
0.440 0.999 0.880
0.560 0.499 0.120
```


Relative energies, unit meV/atom: version one 277; version two 0